# 1
TmSi2Ir2Pt | GGA-PBE | relaxed

crystal system: tetragonal
DOS at the Fermi energy: 0.67 states/eV per atom
E_tot: -6.7865 eV/atom
formation energy (no corrections): -6.3 kcal/mol of atoms
space group: No. 123

Structure (POSCAR):
```
TmSi2Ir2Pt
1.0
4.5020 0.0000 0.0000
0.0000 4.5020 0.0000
0.0000 0.0000 5.4459
Tm Si Ir Pt
1 2 2 1
Cartesian
0.0000 0.0000 0.0000
0.0000 2.2510 2.7229
2.2510 0.0000 2.7229
2.2510 2.2510 1.2981
2.2510 2.2510 4.1477
0.0000 0.0000 2.7229
```

---

# 2
MnIn2Re | GGA-PBE | relaxed

crystal system: monoclinic
DOS at the Fermi energy: 0.62 states/eV per atom
distance to the lowest polymorph of the same formula: 0.137 eV/atom
E_tot: -6.3709 eV/atom
calculated formation energy: 0.40 eV/atom
space group: No. 8

Structure (POSCAR):
```
MnIn2Re
1.0
5.3205 -1.4996 0.0000
5.3205 1.4996 0.0000
-1.8121 0.0000 4.5222
Mn In Re
1 2 1
Cartesian
0.0000 0.0000 0.0000
1.0173 0.0000 3.7763
3.9515 0.0000 2.1031
6.8012 0.0000 1.3803
```

---

# 3
RbReMoRu2 | GGA-PBE | relaxed

crystal system: tetragonal
DOS at the Fermi energy: 1.20 states/eV per atom
E_tot: -6.9641 eV/atom
calculated formation energy: 1.60 eV/atom
space group: No. 123

Structure (POSCAR):
```
RbReMoRu2
1.0
4.8342 0.0000 0.0000
0.0000 4.8342 0.0000
0.0000 0.0000 4.8941
Rb Re Mo Ru
1 1 1 2
Cartesian
0.0000 0.0000 0.0000
2.4171 2.4171 2.4470
2.4171 2.4171 0.0000
0.0000 2.4171 2.4470
2.4171 0.0000 2.4470
```

---

# 4
CsLiTl2Ga | GGA-PBE | relaxed

crystal system: tetragonal
DOS at the Fermi energy: 0.54 states/eV per atom
E_tot: -2.0840 eV/atom
calculated formation energy: 0.02 eV/atom
space group: No. 123

Structure (POSCAR):
```
CsLiTl2Ga
1.0
5.8119 0.0000 0.0000
0.0000 5.8119 0.0000
0.0000 0.0000 5.4184
Cs Li Tl Ga
1 1 2 1
Cartesian
0.0000 0.0000 0.0000
2.9059 2.9059 0.0000
0.0000 2.9059 2.7092
2.9059 0.0000 2.7092
2.9059 2.9059 2.7092
```